Below is a relaxed VZnAgO4 crystal, with properties calculated at the PBE+U level. Values from VASP.

Properties
Electronic total energy, eV/atom: -5.862
Space-group type: I-4, No. 82
V, Å³/atom: 16.102
ρ, Mg/m³: 4.246
N(E_F), states/eV per cell: 0.000

```
&SYSTEM
  ibrav = 0, nat = 7, ntyp = 4
/
ATOMIC_SPECIES
Ag 107.87 Ag.upf
O 16.00 O.upf
Zn 65.41 Zn.upf
V 50.94 V.upf
CELL_PARAMETERS angstrom
-0.9858 2.2171 -4.6024
-3.7380 -3.5079 -0.8893
-0.4249 3.1569 4.5526
ATOMIC_POSITIONS angstrom
Ag 0.0000 0.0000 0.0000
O -3.2511 1.2507 0.3687
O -2.7602 1.1662 -3.4038
O -0.8852 2.4771 2.3131
Zn -2.3619 -0.6454 -2.7458
O -3.4009 -1.1617 -1.1560
V -3.2624 -0.4982 0.4588
```